[1]
## Rb2FeP2 (GGA-PBE)

Data for a relaxed Rb2FeP2 crystal.

Summary:
* SG: P4/mbm
* total moment: 0.0 μB/f.u.
* DFT total energy: -0.3075 Ry/atom
* ΔH_f (0 K): 5.73 kJ per mole of atoms

a b c (Å): 6.0740 6.0740 5.7573
angles (deg): 90.00 90.00 90.00
Last column: nearest neighbours and their distance in Å.
Element x y z (fractional)
Rb 0.1802 0.3198 0.0000  5 Rb 3.10-3.15, 2 P 3.27
Rb 0.3198 0.8198 0.0000  5 Rb 3.10-3.15, 2 P 3.27
Rb 0.6802 0.1802 0.0000  5 Rb 3.10-3.15, 2 P 3.27
Rb 0.8198 0.6802 0.0000  5 Rb 3.10-3.15, 2 P 3.27
Fe 0.0000 0.0000 0.5000  4 P 2.35
Fe 0.5000 0.5000 0.5000  4 P 2.35
P 0.1397 0.6397 0.5000  2 Fe 2.35, 1 P 2.40
P 0.3603 0.1397 0.5000  2 Fe 2.35, 1 P 2.40
P 0.6397 0.8603 0.5000  2 Fe 2.35, 1 P 2.40
P 0.8603 0.3603 0.5000  2 Fe 2.35, 1 P 2.40

[2]
## Rb3FeP (GGA-PBE)

Data for a relaxed Rb3FeP crystal.

Summary:
* SG: Pm-3m
* total moment: 2.9 μB/f.u.
* DFT total energy: -0.1927 Ry/atom
* ΔH_f (0 K): 70.73 kJ per mole of atoms

a b c (Å): 6.5723 6.5723 6.5723
angles (deg): 90.00 90.00 90.00
Last column: nearest neighbours and their distance in Å.
Element x y z (fractional)
Rb 0.0000 0.0000 0.5000  2 P 3.29
Rb 0.0000 0.5000 0.0000  2 P 3.29
Rb 0.5000 0.0000 0.0000  2 P 3.29
Fe 0.5000 0.5000 0.5000  12 Rb 4.65
P 0.0000 0.0000 0.0000  6 Rb 3.29

[3]
## Rb2FePRu (GGA-PBE)

Data for a relaxed Rb2FePRu crystal.

Summary:
* SG: P4/mmm
* total moment: 4.7 μB/f.u.
* DFT total energy: -0.2717 Ry/atom
* ΔH_f (0 K): 127.31 kJ per mole of atoms

a b c (Å): 6.5195 6.5195 4.3038
angles (deg): 90.00 90.00 90.00
Last column: nearest neighbours and their distance in Å.
Element x y z (fractional)
Rb 0.0000 0.5000 0.0000  2 Ru 3.26
Rb 0.5000 0.0000 0.0000  2 Ru 3.26
Fe 0.0000 0.0000 0.5000  2 Ru 2.15
P 0.5000 0.5000 0.5000  8 Rb 3.91, 2 P 4.30
Ru 0.0000 0.0000 0.0000  2 Fe 2.15

[4]
## RbFePS2 (GGA-PBE)

Data for a relaxed RbFePS2 crystal.

Summary:
* SG: P4/mmm
* total moment: 2.9 μB/f.u.
* DFT total energy: -0.3421 Ry/atom
* formation energy from raw total energies: -35 meV per atom

a b c (Å): 4.8549 4.8549 4.4563
angles (deg): 90.00 90.00 90.00
Last column: nearest neighbours and their distance in Å.
Element x y z (fractional)
Rb 0.0000 0.0000 0.0000  8 S 3.30, 4 P 3.43
Fe 0.5000 0.5000 0.5000  2 P 2.23, 4 S 2.43
P 0.5000 0.5000 0.0000  2 Fe 2.23
S 0.0000 0.5000 0.5000  2 Fe 2.43
S 0.5000 0.0000 0.5000  2 Fe 2.43

[5]
## Rb2FeP2S6 (GGA-PBE)

Data for a relaxed Rb2FeP2S6 crystal.

Summary:
* SG: R-3m
* total moment: 4.0 μB/f.u.
* DFT total energy: -0.3437 Ry/atom
* formation energy from raw total energies: -497 meV per atom

a b c (Å): 7.5768 7.5768 7.5768
angles (deg): 53.26 53.26 53.26
Last column: nearest neighbours and their distance in Å.
Element x y z (fractional)
Rb 0.2402 0.2402 0.2402  9 S 3.40-3.57
Rb 0.7598 0.7598 0.7598  9 S 3.40-3.57
Fe 0.0000 0.0000 0.0000  6 S 2.53
P 0.4386 0.4386 0.4386  3 S 2.05
P 0.5614 0.5614 0.5614  3 S 2.05
S 0.2394 0.7521 0.7521  1 P 2.05
S 0.2479 0.2479 0.7606  1 P 2.05
S 0.2479 0.7606 0.2479  1 P 2.05
S 0.7521 0.2394 0.7521  1 P 2.05
S 0.7521 0.7521 0.2394  1 P 2.05
S 0.7606 0.2479 0.2479  1 P 2.05

[6]
## RbFePS2 (GGA-PBE)

Data for a relaxed RbFePS2 crystal.

Summary:
* SG: P4/mmm
* total moment: 5.9 μB/f.u.
* DFT total energy: -0.1922 Ry/atom
* formation energy from raw total energies: 2004 meV per atom

a b c (Å): 5.5044 5.5044 5.4500
angles (deg): 90.00 90.00 90.00
Last column: nearest neighbours and their distance in Å.
Element x y z (fractional)
Rb 0.0000 0.0000 0.0000  2 P 2.72, 4 S 2.75
Fe 0.5000 0.5000 0.5000  8 S 3.87, 4 P 3.89
P 0.0000 0.0000 0.5000  2 Rb 2.72
S 0.0000 0.5000 0.0000  2 Rb 2.75
S 0.5000 0.0000 0.0000  2 Rb 2.75